# 1
Below is an optimized crystal structure of Cs2LaLuO4, with properties calculated at the GGA-PBE level.

Cell lengths 3.6007, 3.6007, 13.5992 Å; angles 90.00, 90.00, 120.00 degrees
With the nearest neighbours (Å) after each atom.
Sites, in units of the cell vectors:
Cs: 0.3333 0.6667 0.2434  6 O 3.06-3.07
Cs: 0.6667 0.3333 0.7566  6 O 3.06-3.07
La: 0.0000 0.0000 0.5000  6 O 2.42
Lu: 0.0000 0.0000 0.0000  6 O 2.33
O: 0.3333 0.6667 0.5911  3 La 2.42
O: 0.3333 0.6667 0.9232  3 Lu 2.33
O: 0.6667 0.3333 0.0768  3 Lu 2.33
O: 0.6667 0.3333 0.4088  3 La 2.42

Values from the calculation:
- crystal system = trigonal
- E_tot (eV/atom) = -6.450
- spin magnetization (μB per formula unit) = 0.01


# 2
Below is an optimized crystal structure of CsLaLuTe3, with properties calculated at the GGA-PBE level.

Cell lengths 9.1728, 9.1728, 10.9148 Å; angles 90.00, 90.00, 146.80 degrees
With the nearest neighbours (Å) after each atom.
Sites, in units of the cell vectors:
Cs: 0.2335 0.7665 0.7500  8 Te 4.05-4.19
Cs: 0.7665 0.2335 0.2500  8 Te 4.05-4.19
La: 0.4955 0.5045 0.7500  4 Te 3.03-3.15
La: 0.5045 0.4955 0.2500  4 Te 3.03-3.15
Lu: 0.0000 0.0000 0.0000  6 Te 3.16-3.27
Lu: 0.0000 0.0000 0.5000  6 Te 3.16-3.27
Te: 0.0910 0.9090 0.2500  2 La 3.03, 2 Lu 3.16
Te: 0.3904 0.6096 0.0273  1 La 3.15, 2 Lu 3.27
Te: 0.3904 0.6096 0.4727  1 La 3.15, 2 Lu 3.27
Te: 0.6096 0.3904 0.5273  1 La 3.15, 2 Lu 3.27
Te: 0.6096 0.3904 0.9727  1 La 3.15, 2 Lu 3.27
Te: 0.9090 0.0910 0.7500  2 La 3.03, 2 Lu 3.16

Values from the calculation:
- crystal system = orthorhombic
- E_tot (eV/atom) = -4.487
- spin magnetization (μB per formula unit) = 0.38


# 3
Below is an optimized crystal structure of CsLaMo, with properties calculated at the GGA-PBE level.

Cell lengths 5.3461, 5.3461, 5.3461 Å; angles 60.00, 60.00, 60.00 degrees
With the nearest neighbours (Å) after each atom.
Sites, in units of the cell vectors:
Cs: 0.0000 0.0000 0.0000  4 La 3.27
La: 0.2500 0.2500 0.2500  4 Mo 3.27, 4 Cs 3.27
Mo: 0.5000 0.5000 0.5000  4 La 3.27

Values from the calculation:
- crystal system = cubic
- E_tot (eV/atom) = -3.733
- spin magnetization (μB per formula unit) = 3.60
- excess energy over the best structure of this formula in the dataset (meV per atom) = 0


# 4
Below is an optimized crystal structure of CsLaMo, with properties calculated at the GGA-PBE level.

Cell lengths 5.2209, 5.2209, 5.2209 Å; angles 60.00, 60.00, 60.00 degrees
With the nearest neighbours (Å) after each atom.
Sites, in units of the cell vectors:
Cs: 0.0000 0.0000 0.0000  4 La 3.20, 4 Mo 3.20
La: 0.7500 0.7500 0.7500  4 Cs 3.20
Mo: 0.2500 0.2500 0.2500  4 Cs 3.20

Values from the calculation:
- crystal system = cubic
- E_tot (eV/atom) = -3.597
- spin magnetization (μB per formula unit) = 2.67
- excess energy over the best structure of this formula in the dataset (meV per atom) = 136


# 5
Below is an optimized crystal structure of CsLaNd, with properties calculated at the GGA-PBE level.

Cell lengths 6.1991, 6.1991, 6.1991 Å; angles 60.00, 60.00, 60.00 degrees
With the nearest neighbours (Å) after each atom.
Sites, in units of the cell vectors:
Cs: 0.0000 0.0000 0.0000  4 La 3.80
La: 0.2500 0.2500 0.2500  4 Nd 3.80, 4 Cs 3.80
Nd: 0.5000 0.5000 0.5000  4 La 3.80

Values from the calculation:
- crystal system = cubic
- E_tot (eV/atom) = -2.380
- spin magnetization (μB per formula unit) = 4.57


# 6
Below is an optimized crystal structure of Cs2LaNdO4, with properties calculated at the GGA-PBE level.

Cell lengths 3.7130, 3.7130, 13.6609 Å; angles 90.00, 90.00, 120.00 degrees
With the nearest neighbours (Å) after each atom.
Sites, in units of the cell vectors:
Cs: 0.3333 0.6667 0.2489  6 O 3.09-3.10
Cs: 0.6667 0.3333 0.7511  6 O 3.09-3.10
La: 0.0000 0.0000 0.5000  6 O 2.45
Nd: 0.0000 0.0000 0.0000  6 O 2.44
O: 0.3333 0.6667 0.5870  3 La 2.45
O: 0.3333 0.6667 0.9144  3 Nd 2.44
O: 0.6667 0.3333 0.0856  3 Nd 2.44
O: 0.6667 0.3333 0.4130  3 La 2.45

Values from the calculation:
- crystal system = trigonal
- E_tot (eV/atom) = -6.443
- spin magnetization (μB per formula unit) = 0.01


Question: Which formula does entry 3 have?
Answer: CsLaMo